Model i:
5
Lattice="4.9183 0.0000 0.0000 0.0000 4.9183 0.0000 0.0000 0.0000 5.1246" Properties=species:S:1:pos:R:3 comment="CdGeSCl2, optimized geometry, DFT GGA-PBEsol" n_ef_per_ev_atom=0.1573 pbc="T T T"
Cd 0.0000 0.0000 0.0000
Ge 2.4591 2.4591 2.5623
S 0.0000 0.0000 2.5623
Cl 0.0000 2.4591 0.0000
Cl 2.4591 0.0000 0.0000



Model ii:
5
Lattice="4.8217 0.0000 0.0000 0.0000 4.8217 0.0000 0.0000 0.0000 4.8435" Properties=species:S:1:pos:R:3 comment="CdGeSCl2, optimized geometry, DFT GGA-PBEsol" n_ef_per_ev_atom=0.2700 pbc="T T T"
Cd 0.0000 0.0000 0.0000
Ge 2.4109 2.4109 2.4217
S 2.4109 2.4109 0.0000
Cl 0.0000 2.4109 2.4217
Cl 2.4109 0.0000 2.4217



Pick model ii: it beats the second-best structure by 0.203 eV/atom.



Model i:
5
Lattice="4.1431 0.0000 0.0000 0.0000 4.1431 0.0000 0.0000 0.0000 6.9644" Properties=species:S:1:pos:R:3 comment="CdIN2Cl, optimized geometry, DFT GGA-PBEsol" n_ef_per_ev_atom=0.6682 pbc="T T T"
Cd 0.0000 0.0000 0.0000
I 2.0716 2.0716 0.0000
N 0.0000 2.0716 3.4822
N 2.0716 0.0000 3.4822
Cl 2.0716 2.0716 3.4822



Model ii:
5
Lattice="4.3264 0.0000 0.0000 0.0000 4.3264 0.0000 0.0000 0.0000 6.3267" Properties=species:S:1:pos:R:3 comment="CdIN2Cl, optimized geometry, DFT GGA-PBEsol" n_ef_per_ev_atom=0.5104 pbc="T T T"
Cd 0.0000 0.0000 0.0000
I 0.0000 0.0000 3.1633
N 0.0000 2.1632 0.0000
N 2.1632 0.0000 0.0000
Cl 2.1632 2.1632 3.1633



Pick model ii: it beats the second-best structure by 0.262 eV/atom.



Model i:
4
Lattice="-1.6256 2.7085 5.4276 1.6256 -2.7085 5.4276 1.6256 2.7085 -5.4276" Properties=species:S:1:pos:R:3 comment="CdIn2Cl, optimized geometry, DFT GGA-PBEsol" n_ef_per_ev_atom=0.3953 pbc="T T T"
Cd 0.0000 0.0000 0.0000
In 0.0000 0.0000 5.3488
In 0.0000 2.7085 2.7689
Cl 1.6256 0.0000 2.5747



Model ii:
4
Lattice="5.1203 0.0000 0.0000 0.0000 5.7941 0.0000 0.0000 0.0000 3.3037" Properties=species:S:1:pos:R:3 comment="CdIn2Cl, optimized geometry, DFT GGA-PBEsol" n_ef_per_ev_atom=0.3412 pbc="T T T"
Cd 0.0000 0.0000 0.0000
In 0.0000 2.8970 3.2903
In 2.5601 0.0000 1.6534
Cl 2.5601 2.8970 1.6506



Pick model ii: it beats the second-best structure by 0.073 eV/atom.



Model i:
4
Lattice="1.9416 -2.9677 0.0000 1.9416 2.9677 0.0000 0.0000 0.0000 8.7050" Properties=species:S:1:pos:R:3 comment="CdInCl2, optimized geometry, DFT GGA-PBEsol" n_ef_per_ev_atom=0.1599 pbc="T T T"
Cd 0.0000 0.0000 0.0000
In 1.9416 0.0000 6.5238
Cl 0.0000 0.0000 4.7213
Cl 1.9416 0.0000 1.6249



Model ii:
4
Lattice="-2.0669 2.0669 5.7842 2.0669 -2.0669 5.7842 2.0669 2.0669 -5.7842" Properties=species:S:1:pos:R:3 comment="CdInCl2, optimized geometry, DFT GGA-PBEsol" n_ef_per_ev_atom=0.3870 pbc="T T T"
Cd 0.0000 0.0000 0.0000
In 2.0669 0.0000 2.8921
Cl 0.0000 0.0000 5.7842
Cl 0.0000 2.0669 2.8921



Pick model i: it beats the second-best structure by 0.092 eV/atom.



Model i:
4
Lattice="5.4444 -1.5846 0.0000 5.4444 1.5846 0.0000 -2.5278 0.0000 5.3277" Properties=species:S:1:pos:R:3 comment="MgCd2Cl, optimized geometry, DFT GGA-PBEsol" n_ef_per_ev_atom=0.3753 pbc="T T T"
Mg 0.0000 0.0000 0.0000
Cd 1.3792 0.0000 3.2753
Cd 4.3247 0.0000 2.4081
Cl 7.2759 0.0000 0.2613



Model ii:
4
Lattice="4.0011 0.0000 0.0000 0.0000 4.0011 0.0000 0.0000 0.0000 5.9557" Properties=species:S:1:pos:R:3 comment="MgCd2Cl, optimized geometry, DFT GGA-PBEsol" n_ef_per_ev_atom=0.5877 pbc="T T T"
Mg 0.0000 0.0000 0.0000
Cd 0.0000 2.0005 2.9778
Cd 2.0005 0.0000 2.9778
Cl 2.0005 2.0005 0.0000



Model iii:
4
Lattice="0.0000 3.6024 3.6024 3.6024 0.0000 3.6024 3.6024 3.6024 0.0000" Properties=species:S:1:pos:R:3 comment="MgCd2Cl, optimized geometry, DFT GGA-PBEsol" n_ef_per_ev_atom=0.7574 pbc="T T T"
Mg 0.0000 0.0000 0.0000
Cd 3.6024 3.6024 3.6024
Cd 5.4035 5.4035 5.4035
Cl 1.8012 1.8012 1.8012



Pick model i: it beats the second-best structure by 0.133 eV/atom.



Model i:
3
Lattice="3.2431 0.0000 0.0000 -1.6216 2.8086 0.0000 0.0000 0.0000 6.3889" Properties=species:S:1:pos:R:3 comment="MnCdCl, optimized geometry, DFT GGA-PBEsol" n_ef_per_ev_atom=0.3813 pbc="T T T"
Mn 0.0000 0.0000 0.0000
Cd 1.6216 0.9362 4.3564
Cl 0.0000 1.8724 1.5605



Model ii:
3
Lattice="-1.5541 1.5541 6.0150 1.5541 -1.5541 6.0150 1.5541 1.5541 -6.0150" Properties=species:S:1:pos:R:3 comment="MnCdCl, optimized geometry, DFT GGA-PBEsol" n_ef_per_ev_atom=0.7014 pbc="T T T"
Mn 0.0000 0.0000 0.0000
Cd 0.0000 0.0000 7.8350
Cl 0.0000 0.0000 4.6500



Pick model i: it beats the second-best structure by 0.081 eV/atom.



Model i:
4
Lattice="-2.0184 2.0184 3.5509 2.0184 -2.0184 3.5509 2.0184 2.0184 -3.5509" Properties=species:S:1:pos:R:3 comment="CdNi2Cl, optimized geometry, DFT GGA-PBEsol" n_ef_per_ev_atom=1.4798 pbc="T T T"
Cd 0.0000 0.0000 0.0000
Ni 2.0184 0.0000 1.7755
Ni 0.0000 2.0184 1.7755
Cl 0.0000 0.0000 3.5509



Model ii:
4
Lattice="1.5018 -2.5196 0.0000 1.5018 2.5196 0.0000 0.0000 0.0000 7.7245" Properties=species:S:1:pos:R:3 comment="CdNi2Cl, optimized geometry, DFT GGA-PBEsol" n_ef_per_ev_atom=1.0531 pbc="T T T"
Cd 0.0000 0.0000 0.0000
Ni 1.5018 0.0000 2.1167
Ni 1.5018 0.0000 5.6078
Cl 0.0000 0.0000 3.8623



Pick model ii: it beats the second-best structure by 0.197 eV/atom.



Model i:
4
Lattice="0.0000 3.3927 3.3927 3.3927 0.0000 3.3927 3.3927 3.3927 0.0000" Properties=species:S:1:pos:R:3 comment="Cd2PCl, optimized geometry, DFT GGA-PBEsol" n_ef_per_ev_atom=0.1543 pbc="T T T"
Cd 1.6963 1.6963 1.6963
Cd 5.0890 5.0890 5.0890
P 0.0000 0.0000 0.0000
Cl 3.3927 3.3927 3.3927



Model ii:
Cd2PCl | GGA-PBEsol | optimized geometry

Geometry as extended XYZ:
```
8
Lattice="-2.9413 2.9413 6.2528 2.9413 -2.9413 6.2528 2.9413 2.9413 -6.2528" Properties=species:S:1:pos:R:3 pbc="T T T"
Cd 4.4119 1.1874 -1.5632
Cd 1.1874 1.4706 1.5632
Cd -1.4706 1.7539 4.6896
Cd 1.7539 1.4706 7.8161
P 0.0000 0.0000 0.0000
P 0.0000 2.9413 3.1264
Cl 2.9413 0.0000 3.1264
Cl 0.0000 0.0000 6.2528
```



Pick model ii: it beats the second-best structure by 0.402 eV/atom.



Model i:
5
Lattice="4.7783 0.0000 0.0000 0.0000 4.7783 0.0000 0.0000 0.0000 5.2266" Properties=species:S:1:pos:R:3 comment="CdPS2Cl, optimized geometry, DFT GGA-PBEsol" n_ef_per_ev_atom=1.2291 pbc="T T T"
Cd 0.0000 0.0000 0.0000
P 0.0000 0.0000 2.6133
S 0.0000 2.3892 0.0000
S 2.3892 0.0000 0.0000
Cl 2.3892 2.3892 2.6133



Model ii:
5
Lattice="4.9252 0.0000 0.0000 0.0000 4.9252 0.0000 0.0000 0.0000 4.8238" Properties=species:S:1:pos:R:3 comment="CdPS2Cl, optimized geometry, DFT GGA-PBEsol" n_ef_per_ev_atom=0.6101 pbc="T T T"
Cd 0.0000 0.0000 0.0000
P 2.4626 2.4626 2.4119
S 0.0000 2.4626 0.0000
S 2.4626 0.0000 0.0000
Cl 0.0000 0.0000 2.4119



Pick model ii: it beats the second-best structure by 0.209 eV/atom.



Model i:
5
Lattice="5.2606 0.0000 0.0000 0.0000 5.2606 0.0000 0.0000 0.0000 5.2606" Properties=species:S:1:pos:R:3 comment="Cd3PbCl, optimized geometry, DFT GGA-PBEsol" n_ef_per_ev_atom=0.6394 pbc="T T T"
Cd 0.0000 0.0000 2.6303
Cd 0.0000 2.6303 0.0000
Cd 2.6303 0.0000 0.0000
Pb 2.6303 2.6303 2.6303
Cl 0.0000 0.0000 0.0000



Model ii:
5
Lattice="5.5671 0.0000 0.0000 0.0000 5.5671 0.0000 0.0000 0.0000 5.5671" Properties=species:S:1:pos:R:3 comment="Cd3PbCl, optimized geometry, DFT GGA-PBEsol" n_ef_per_ev_atom=0.4719 pbc="T T T"
Cd 0.0000 0.0000 2.7835
Cd 0.0000 2.7835 0.0000
Cd 2.7835 0.0000 0.0000
Pb 0.0000 0.0000 0.0000
Cl 2.7835 2.7835 2.7835



Pick model ii: it beats the second-best structure by 0.192 eV/atom.



Model i:
4
Lattice="-1.6115 2.5549 5.8748 1.6115 -2.5549 5.8748 1.6115 2.5549 -5.8748" Properties=species:S:1:pos:R:3 comment="Cd2PbCl, optimized geometry, DFT GGA-PBEsol" n_ef_per_ev_atom=0.4506 pbc="T T T"
Cd 0.0000 0.0000 2.8479
Cd 0.0000 0.0000 8.9018
Pb 1.6115 0.0000 0.0000
Cl 0.0000 2.5549 0.0000



Model ii:
4
Lattice="5.3156 0.0000 0.0000 0.0000 5.3156 0.0000 0.0000 0.0000 3.3763" Properties=species:S:1:pos:R:3 comment="Cd2PbCl, optimized geometry, DFT GGA-PBEsol" n_ef_per_ev_atom=0.3776 pbc="T T T"
Cd 0.0000 2.6578 0.0000
Cd 2.6578 0.0000 0.0000
Pb 0.0000 0.0000 1.6881
Cl 2.6578 2.6578 1.6881



Model iii:
4
Lattice="1.8328 -2.8594 0.0000 1.8328 2.8594 0.0000 0.0000 0.0000 9.3711" Properties=species:S:1:pos:R:3 comment="Cd2PbCl, optimized geometry, DFT GGA-PBEsol" n_ef_per_ev_atom=0.4293 pbc="T T T"
Cd 0.0000 0.0000 2.1147
Cd 0.0000 0.0000 7.2564
Pb 1.8328 0.0000 4.6856
Cl 1.8328 0.0000 0.0000



Pick model i: it beats the second-best structure by 0.018 eV/atom.



Model i:
4
Lattice="4.7177 0.0000 0.0000 0.0000 4.7177 0.0000 0.0000 0.0000 2.9913" Properties=species:S:1:pos:R:3 comment="CdPt2Cl, optimized geometry, DFT GGA-PBEsol" n_ef_per_ev_atom=0.5455 pbc="T T T"
Cd 0.0000 0.0000 0.0000
Pt 0.0000 2.3588 1.4956
Pt 2.3588 0.0000 1.4956
Cl 2.3588 2.3588 0.0000



Model ii:
4
Lattice="2.1132 -2.1196 0.0000 2.1132 2.1196 0.0000 0.0000 0.0000 7.6018" Properties=species:S:1:pos:R:3 comment="CdPt2Cl, optimized geometry, DFT GGA-PBEsol" n_ef_per_ev_atom=1.3731 pbc="T T T"
Cd 0.0000 0.0000 0.0000
Pt 0.0000 0.0000 3.5820
Pt 2.1132 0.0000 1.8308
Cl 2.1132 0.0000 5.6108



Pick model ii: it beats the second-best structure by 0.307 eV/atom.